# SbTeIN2

Crystalline SbTeIN2 at its relaxed geometry (PBE, the Alexandria database).

extended XYZ file:
```
5
Lattice="4.189 0.000 0.000 0.000 4.189 0.000 0.000 0.000 7.916" Properties=species:S:1:pos:R:3 pbc="T T T"
Sb 0.000 0.000 0.000
Te 2.095 2.095 3.958
I 2.095 2.095 0.000
N 0.000 2.095 3.958
N 2.095 0.000 3.958
```

Properties
As for the energy: -3.5474 eV per atom. The offset from the most stable computed form is 253 meV/atom. The uncorrected formation energy is 1.5456 eV per atom.


# SbTeIN2

Crystalline SbTeIN2 at its relaxed geometry (PBE, the Alexandria database).

extended XYZ file:
```
5
Lattice="4.189 0.000 0.000 0.000 4.189 0.000 0.000 0.000 7.982" Properties=species:S:1:pos:R:3 pbc="T T T"
Sb 0.000 0.000 0.000
Te 2.094 2.094 3.991
I 0.000 0.000 3.991
N 0.000 2.094 0.000
N 2.094 0.000 0.000
```

Properties
As for the energy: -3.7281 eV per atom. The offset from the most stable computed form is 72 meV/atom. The uncorrected formation energy is 1.3648 eV per atom.


# SbTeIN2

Crystalline SbTeIN2 at its relaxed geometry (PBE, the Alexandria database).

extended XYZ file:
```
5
Lattice="4.213 0.000 0.000 0.000 4.213 0.000 0.000 0.000 6.584" Properties=species:S:1:pos:R:3 pbc="T T T"
Sb 0.000 0.000 0.000
Te 0.000 0.000 3.292
I 2.107 2.107 3.292
N 0.000 2.107 0.000
N 2.107 0.000 0.000
```

Properties
As for the energy: -3.8001 eV per atom. The offset from the most stable computed form is 0 meV/atom. The uncorrected formation energy is 1.2929 eV per atom.


# TiSb2IN

Crystalline TiSb2IN at its relaxed geometry (PBE, the Alexandria database).

extended XYZ file:
```
5
Lattice="4.764 0.000 0.000 0.000 4.764 0.000 0.000 0.000 4.679" Properties=species:S:1:pos:R:3 pbc="T T T"
Ti 0.000 0.000 0.000
Sb 0.000 2.382 2.339
Sb 2.382 0.000 2.339
I 2.382 2.382 0.000
N 2.382 2.382 2.339
```

Properties
As for the energy: -4.4376 eV per atom. The offset from the most stable computed form is 0 meV/atom. The uncorrected formation energy is 0.7654 eV per atom.


# TiSb2IN

Crystalline TiSb2IN at its relaxed geometry (PBE, the Alexandria database).

extended XYZ file:
```
5
Lattice="5.278 0.000 0.000 0.000 5.278 0.000 0.000 0.000 5.619" Properties=species:S:1:pos:R:3 pbc="T T T"
Ti 0.000 0.000 0.000
Sb 0.000 2.639 0.000
Sb 2.639 0.000 0.000
I 0.000 0.000 2.810
N 2.639 2.639 2.810
```

Properties
As for the energy: -4.1329 eV per atom. The offset from the most stable computed form is 305 meV/atom. The uncorrected formation energy is 1.0702 eV per atom.


# TlSbIN2

Crystalline TlSbIN2 at its relaxed geometry (PBE, the Alexandria database).

extended XYZ file:
```
5
Lattice="4.318 0.000 0.000 0.000 4.318 0.000 0.000 0.000 6.670" Properties=species:S:1:pos:R:3 pbc="T T T"
Tl 0.000 0.000 0.000
Sb 2.159 2.159 3.335
I 2.159 2.159 0.000
N 0.000 2.159 3.335
N 2.159 0.000 3.335
```

Properties
As for the energy: -3.8240 eV per atom. The offset from the most stable computed form is 0 meV/atom. The uncorrected formation energy is 1.1140 eV per atom.


# TlSbI2N

Crystalline TlSbI2N at its relaxed geometry (PBE, the Alexandria database).

extended XYZ file:
```
5
Lattice="6.392 0.000 0.000 0.000 6.392 0.000 0.000 0.000 4.028" Properties=species:S:1:pos:R:3 pbc="T T T"
Tl 0.000 0.000 0.000
Sb 3.196 3.196 2.014
I 0.000 3.196 2.014
I 3.196 0.000 2.014
N 3.196 3.196 0.000
```

Properties
As for the energy: -3.3346 eV per atom. The offset from the most stable computed form is 0 meV/atom. The uncorrected formation energy is 0.2482 eV per atom.


# TlSbI2N

Crystalline TlSbI2N at its relaxed geometry (PBE, the Alexandria database).

extended XYZ file:
```
5
Lattice="6.354 0.000 0.000 0.000 6.354 0.000 0.000 0.000 4.131" Properties=species:S:1:pos:R:3 pbc="T T T"
Tl 0.000 0.000 0.000
Sb 3.177 3.177 0.000
I 0.000 3.177 2.065
I 3.177 0.000 2.065
N 3.177 3.177 2.065
```

Properties
As for the energy: -3.0288 eV per atom. The offset from the most stable computed form is 306 meV/atom. The uncorrected formation energy is 0.5541 eV per atom.


# TlSbI2N

Crystalline TlSbI2N at its relaxed geometry (PBE, the Alexandria database).

extended XYZ file:
```
5
Lattice="5.963 0.000 0.000 0.000 5.963 0.000 0.000 0.000 5.908" Properties=species:S:1:pos:R:3 pbc="T T T"
Tl 0.000 0.000 0.000
Sb 0.000 0.000 2.954
I 0.000 2.981 0.000
I 2.981 0.000 0.000
N 2.981 2.981 2.954
```

Properties
As for the energy: -1.8011 eV per atom. The offset from the most stable computed form is 1533 meV/atom. The uncorrected formation energy is 1.7817 eV per atom.


# TlSb2IN

Crystalline TlSb2IN at its relaxed geometry (PBE, the Alexandria database).

extended XYZ file:
```
5
Lattice="4.851 0.000 0.000 0.000 4.851 0.000 0.000 0.000 5.397" Properties=species:S:1:pos:R:3 pbc="T T T"
Tl 0.000 0.000 0.000
Sb 0.000 2.426 2.699
Sb 2.426 0.000 2.699
I 2.426 2.426 0.000
N 2.426 2.426 2.699
```

Properties
As for the energy: -3.4419 eV per atom. The offset from the most stable computed form is 0 meV/atom. The uncorrected formation energy is 0.6554 eV per atom.


# TlSbIN2

Crystalline TlSbIN2 at its relaxed geometry (PBE, the Alexandria database).

extended XYZ file:
```
5
Lattice="4.567 0.000 0.000 0.000 4.567 0.000 0.000 0.000 6.446" Properties=species:S:1:pos:R:3 pbc="T T T"
Tl 0.000 0.000 0.000
Sb 2.283 2.283 3.223
I 0.000 0.000 3.223
N 0.000 2.283 0.000
N 2.283 0.000 0.000
```

Properties
As for the energy: -3.1042 eV per atom. The offset from the most stable computed form is 720 meV/atom. The uncorrected formation energy is 1.8337 eV per atom.


# TlSb2IN

Crystalline TlSb2IN at its relaxed geometry (PBE, the Alexandria database).

extended XYZ file:
```
5
Lattice="5.768 0.000 0.000 0.000 5.768 0.000 0.000 0.000 5.874" Properties=species:S:1:pos:R:3 pbc="T T T"
Tl 0.000 0.000 0.000
Sb 0.000 2.884 0.000
Sb 2.884 0.000 0.000
I 0.000 0.000 2.937
N 2.884 2.884 2.937
```

Properties
As for the energy: -2.0795 eV per atom. The offset from the most stable computed form is 1362 meV/atom. The uncorrected formation energy is 2.0178 eV per atom.


# TlSbI2N

Crystalline TlSbI2N at its relaxed geometry (PBE, the Alexandria database).

extended XYZ file:
```
5
Lattice="6.299 0.000 0.000 0.000 6.299 0.000 0.000 0.000 3.981" Properties=species:S:1:pos:R:3 pbc="T T T"
Tl 0.000 0.000 0.000
Sb 3.149 3.149 1.991
I 0.000 3.149 0.000
I 3.149 0.000 0.000
N 0.000 0.000 1.991
```

Properties
As for the energy: -2.5589 eV per atom. The offset from the most stable computed form is 776 meV/atom. The uncorrected formation energy is 1.0240 eV per atom.


# VSbI2N

Crystalline VSbI2N at its relaxed geometry (PBE, the Alexandria database).

extended XYZ file:
```
5
Lattice="4.808 0.000 0.000 0.000 4.808 0.000 0.000 0.000 4.892" Properties=species:S:1:pos:R:3 pbc="T T T"
V 0.000 0.000 0.000
Sb 2.404 2.404 0.000
I 0.000 2.404 2.446
I 2.404 0.000 2.446
N 2.404 2.404 2.446
```

Properties
As for the energy: -3.6043 eV per atom. The offset from the most stable computed form is 1107 meV/atom. The uncorrected formation energy is 1.3291 eV per atom.


# VSbI2N

Crystalline VSbI2N at its relaxed geometry (PBE, the Alexandria database).

extended XYZ file:
```
5
Lattice="6.174 0.000 0.000 0.000 6.174 0.000 0.000 0.000 3.975" Properties=species:S:1:pos:R:3 pbc="T T T"
V 0.000 0.000 0.000
Sb 3.087 3.087 1.988
I 0.000 3.087 1.988
I 3.087 0.000 1.988
N 3.087 3.087 0.000
```

Properties
As for the energy: -3.9502 eV per atom. The offset from the most stable computed form is 762 meV/atom. The uncorrected formation energy is 0.9831 eV per atom.